Record 1
PmTl2I5: optimized geometry, PBE.

Values from the calculation:
Formation energy from raw total energies ... -7.78 eV per formula unit
Total DFT energy (no corrections) ... -25.02 eV/cell
Offset from the most stable computed form ... 0.050 eV/atom

```
PmTl2I5
1.0
-0.975 1.008 8.397
1.883 -8.214 1.205
6.326 5.247 -4.215
Pm I Tl
1 5 2
Cartesian
7.026 -2.009 5.368
0.846 -1.616 2.409
1.308 -5.287 7.299
1.805 -5.800 3.022
4.186 -2.698 5.123
0.349 -1.103 6.686
1.773 1.051 4.395
3.202 -3.560 0.799
```


Record 2
Pm3TlI3: optimized geometry, PBE.

Values from the calculation:
Formation energy from raw total energies ... -6.71 eV per formula unit
Total DFT energy (no corrections) ... -111.93 eV/cell

```
Pm3TlI3
1.0
6.814 -5.071 6.988
-9.831 -4.927 0.240
4.124 -0.539 -10.183
Pm I Tl
12 12 4
Cartesian
0.949 -0.280 -2.571
-1.667 -2.869 -7.454
3.815 -5.129 2.658
1.753 -1.372 1.624
2.183 -2.902 -5.893
-0.552 -4.988 1.031
2.962 -3.933 -1.414
-1.068 -3.856 -3.199
-3.991 -6.189 3.513
-4.614 -5.141 -0.458
-2.384 -1.378 0.098
7.042 -4.114 0.247
5.089 -4.332 -6.530
2.207 -6.626 0.254
-0.627 -9.206 -4.626
1.630 -5.494 -4.000
-1.874 -6.565 -1.493
-1.136 -7.634 2.914
-5.985 -6.439 -3.165
5.730 -5.413 -2.435
-2.658 -5.393 -5.650
3.519 -9.215 -3.038
0.126 -10.313 -0.393
2.834 -7.669 4.524
-3.212 -3.732 1.867
0.277 -2.634 -0.739
-0.396 -1.501 -5.032
4.438 -2.670 0.948
```


Record 3
Pm2TmI: optimized geometry, PBE.

Values from the calculation:
Formation energy from raw total energies ... -0.33 eV per formula unit
Total DFT energy (no corrections) ... -15.85 eV/cell
Offset from the most stable computed form ... 0.301 eV/atom

```
Pm2TmI
1.0
3.628 0.000 0.000
1.814 3.142 0.000
1.814 1.047 11.791
I Pm Tm
1 2 1
Cartesian
3.628 2.094 5.895
5.441 3.142 3.343
1.814 1.047 8.448
0.000 0.000 0.000
```


Record 4
PmTmI6: optimized geometry, PBE.

Values from the calculation:
Formation energy from raw total energies ... -10.60 eV per formula unit
Total DFT energy (no corrections) ... -29.12 eV/cell
Offset from the most stable computed form ... 0.044 eV/atom

```
PmTmI6
1.0
7.660 0.010 0.011
3.822 6.638 0.015
3.819 2.207 6.929
Tm I Pm
1 6 1
Cartesian
7.651 4.428 3.477
5.166 4.404 5.175
8.871 6.586 5.183
6.393 6.569 1.777
10.135 4.452 1.780
8.908 2.287 5.177
6.431 2.270 1.771
0.000 0.000 0.000
```


Record 5
Pm2TmI: optimized geometry, PBE.

Values from the calculation:
Formation energy from raw total energies ... -1.54 eV per formula unit
Total DFT energy (no corrections) ... -17.06 eV/cell
Offset from the most stable computed form ... 0.000 eV/atom

```
Pm2TmI
1.0
3.806 0.000 0.000
1.903 3.296 0.000
1.903 1.099 10.584
Tm I Pm
1 1 2
Cartesian
3.806 2.197 5.299
5.708 3.296 10.584
1.903 1.099 8.044
1.903 1.099 2.534
```


Record 6
PmTmI2: optimized geometry, PBE.

Values from the calculation:
Formation energy from raw total energies ... -2.71 eV per formula unit
Total DFT energy (no corrections) ... -15.04 eV/cell

```
PmTmI2
1.0
-1.388 -3.621 0.098
2.431 -2.999 0.378
-0.533 -1.581 10.803
Tm I Pm
1 2 1
Cartesian
0.000 0.000 0.000
-0.282 -1.759 7.762
0.791 -6.441 3.516
0.255 -4.100 5.639
```


Record 7
PmTmI3: optimized geometry, PBE.

Values from the calculation:
Formation energy from raw total energies ... -5.42 eV per formula unit
Total DFT energy (no corrections) ... -38.59 eV/cell

```
PmTmI3
1.0
4.034 0.000 0.811
1.147 9.982 4.729
-0.363 1.725 12.236
I Pm Tm
6 2 2
Cartesian
0.883 6.649 6.042
3.541 2.597 3.259
3.935 5.057 11.735
2.197 8.911 9.945
1.277 9.110 14.517
2.622 2.795 7.832
0.154 2.230 9.667
4.664 9.477 8.110
3.224 8.384 4.837
1.594 3.322 12.940
```


Record 8
PmTmI6: optimized geometry, PBE.

Values from the calculation:
Formation energy from raw total energies ... -10.95 eV per formula unit
Total DFT energy (no corrections) ... -29.47 eV/cell
Offset from the most stable computed form ... 0.000 eV/atom

```
PmTmI6
1.0
7.912 -0.913 -1.039
-3.267 7.263 -1.039
0.926 1.266 7.529
I Tm Pm
6 1 1
Cartesian
7.154 1.565 0.517
2.088 2.855 5.238
3.482 4.761 0.213
6.247 0.325 4.934
-1.584 6.052 4.934
-0.677 7.292 0.517
0.000 0.000 0.000
0.463 0.633 3.764
```